Record 1
Below is crystalline LaTaCo2 at its relaxed geometry, with properties calculated at the GGA-PBEsol level.

As for the crystal system: tetragonal. The calculation puts the uncorrected energy at -8.08 eV per atom. The value obtained for the volume is 69.8 Å³/cell. For the mass density, the calculation gives 10.4 g cm⁻³.

It has space group P4mm (No. 99), with a = 3.1968 Å, b = 3.1968 Å, c = 6.8297 Å, α = 90.00°, β = 90.00° and γ = 90.00°. The distinct sites, in fractional coordinates, are La at (0.0000, 0.0000, 0.0000), Ta at (0.5000, 0.5000, 0.3914), Co at (0.0000, 0.0000, 0.5316) and Co at (0.5000, 0.5000, 0.7324).

Record 2
Below is crystalline Na2LaAg at its relaxed geometry, with properties calculated at the GGA-PBEsol level.

As for the crystal system: tetragonal. The calculation puts the uncorrected energy at -2.68 eV per atom. The value obtained for the volume is 469.9 Å³/cell. For the mass density, the calculation gives 4.1 g cm⁻³.

It has space group I-42d (No. 122), with a = 4.3526 Å, b = 4.3526 Å, c = 24.8012 Å, α = 90.00°, β = 90.00° and γ = 90.00°. The distinct sites, in fractional coordinates, are Na at (0.2183, 0.2500, 0.1250), La at (0.0000, 0.0000, 0.5000) and Ag at (0.0000, 0.0000, 0.0000).

Record 3
Below is crystalline CaBe3Pt at its relaxed geometry, with properties calculated at the GGA-PBEsol level.

As for the crystal system: cubic. The calculation puts the uncorrected energy at -4.43 eV per atom. The value obtained for the volume is 80.3 Å³/cell. For the mass density, the calculation gives 5.4 g cm⁻³.

It has space group Pm-3m (No. 221), with a = 4.3142 Å, b = 4.3142 Å, c = 4.3142 Å, α = 90.00°, β = 90.00° and γ = 90.00°. The distinct sites, in fractional coordinates, are Ca at (0.0000, 0.0000, 0.0000), Be at (0.0000, 0.5000, 0.5000) and Pt at (0.5000, 0.5000, 0.5000).

Record 4
Below is crystalline YHSe at its relaxed geometry, with properties calculated at the GGA-PBEsol level.

As for the crystal system: hexagonal. The calculation puts the uncorrected energy at -6.18 eV per atom. The value obtained for the volume is 47.8 Å³/cell. For the mass density, the calculation gives 5.9 g cm⁻³.

It has space group P-6m2 (No. 187), with a = 3.7882 Å, b = 3.7882 Å, c = 3.8446 Å, α = 90.00°, β = 90.00° and γ = 120.00°. The distinct sites, in fractional coordinates, are Y at (0.0000, 0.0000, 0.0000), H at (0.3333, 0.6667, 0.0000) and Se at (0.6667, 0.3333, 0.5000).

Record 5
Below is crystalline Y2TaAl at its relaxed geometry, with properties calculated at the GGA-PBEsol level.

As for the crystal system: trigonal. The calculation puts the uncorrected energy at -7.37 eV per atom. The value obtained for the volume is 273.7 Å³/cell. For the mass density, the calculation gives 7.0 g cm⁻³.

It has space group R3m (No. 160, hexagonal axes), with a = 3.1972 Å, b = 3.1972 Å, c = 30.9237 Å, α = 90.00°, β = 90.00° and γ = 120.00°. The distinct sites, in fractional coordinates, are Y at (0.0000, 0.0000, 0.0000), Y at (0.0000, 0.0000, 0.2320), Ta at (0.0000, 0.0000, 0.4851) and Al at (0.0000, 0.0000, 0.7484).

Record 6
Below is crystalline LaTaInSb2 at its relaxed geometry, with properties calculated at the GGA-PBEsol level.

As for the crystal system: tetragonal. The value obtained for the volume is 154.2 Å³/cell. For the mass density, the calculation gives 7.3 g cm⁻³. As for the energy relative to the elements, uncorrected: 0.8439 eV per atom.

It has space group P4/mmm (No. 123), with a = 5.4698 Å, b = 5.4698 Å, c = 5.1527 Å, α = 90.00°, β = 90.00° and γ = 90.00°. The distinct sites, in fractional coordinates, are La at (0.0000, 0.0000, 0.0000), Ta at (0.5000, 0.5000, 0.0000), In at (0.5000, 0.5000, 0.5000) and Sb at (0.0000, 0.5000, 0.5000).

Record 7
Below is crystalline Al2SbRh at its relaxed geometry, with properties calculated at the GGA-PBEsol level.

As for the crystal system: cubic. The value obtained for the volume is 273.5 Å³/cell. For the mass density, the calculation gives 6.8 g cm⁻³. As for the energy relative to the elements, uncorrected: -0.0462 eV per atom.

It has space group F-43m (No. 216), with a = 6.4911 Å, b = 6.4911 Å, c = 6.4911 Å, α = 90.00°, β = 90.00° and γ = 90.00°. The distinct sites, in fractional coordinates, are Al at (0.0000, 0.0000, 0.0000), Al at (0.2500, 0.2500, 0.2500), Sb at (0.0000, 0.0000, 0.5000) and Rh at (0.2500, 0.2500, 0.7500).

Record 8
Below is crystalline NbAgF2 at its relaxed geometry, with properties calculated at the GGA-PBEsol level.

As for the crystal system: cubic. The value obtained for the volume is 211.7 Å³/cell. For the mass density, the calculation gives 7.5 g cm⁻³. As for the energy relative to the elements, uncorrected: -0.5103 eV per atom.

It has space group Fm-3m (No. 225), with a = 5.9599 Å, b = 5.9599 Å, c = 5.9599 Å, α = 90.00°, β = 90.00° and γ = 90.00°. The distinct sites, in fractional coordinates, are Nb at (0.0000, 0.0000, 0.0000), Ag at (0.0000, 0.0000, 0.5000) and F at (0.2500, 0.2500, 0.2500).

Record 9
Below is crystalline Cs2Tl2S at its relaxed geometry, with properties calculated at the GGA-PBEsol level.

As for the crystal system: tetragonal. The value obtained for the volume is 397.8 Å³/cell. For the mass density, the calculation gives 5.9 g cm⁻³. As for the energy relative to the elements, uncorrected: 0.2621 eV per atom.

It has space group I4/mmm (No. 139), with a = 5.0015 Å, b = 5.0015 Å, c = 15.9036 Å, α = 90.00°, β = 90.00° and γ = 90.00°. The distinct sites, in fractional coordinates, are Cs at (0.0000, 0.5000, 0.2500), Tl at (0.0000, 0.0000, 0.0854) and S at (0.0000, 0.0000, 0.5000).

Record 10
Below is crystalline SrReSn2Bi at its relaxed geometry, with properties calculated at the GGA-PBEsol level.

As for the crystal system: tetragonal. The calculation puts the uncorrected energy at -3.71 eV per atom. The value obtained for the volume is 161.5 Å³/cell. For the mass density, the calculation gives 7.4 g cm⁻³.

It has space group P4/mmm (No. 123), with a = 5.6891 Å, b = 5.6891 Å, c = 4.9891 Å, α = 90.00°, β = 90.00° and γ = 90.00°. The distinct sites, in fractional coordinates, are Sr at (0.0000, 0.0000, 0.0000), Re at (0.0000, 0.0000, 0.5000), Sn at (0.0000, 0.5000, 0.0000) and Bi at (0.5000, 0.5000, 0.5000).

Record 11
Below is crystalline CaMg at its relaxed geometry, with properties calculated at the GGA-PBEsol level.

As for the crystal system: orthorhombic. The calculation puts the uncorrected energy at -1.98 eV per atom. The value obtained for the volume is 244.4 Å³/cell. For the mass density, the calculation gives 1.8 g cm⁻³.

It has space group Imma (No. 74), with a = 3.8128 Å, b = 5.6538 Å, c = 11.3352 Å, α = 90.00°, β = 90.00° and γ = 90.00°. The distinct sites, in fractional coordinates, are Ca at (0.0000, 0.2500, 0.1072) and Mg at (0.0000, 0.2500, 0.6456).

Record 12
Below is crystalline Mn4Fe at its relaxed geometry, with properties calculated at the GGA-PBEsol level.

As for the crystal system: tetragonal. The calculation puts the uncorrected energy at -9.53 eV per atom. The value obtained for the volume is 102.0 Å³/cell. For the mass density, the calculation gives 9.0 g cm⁻³.

It has space group I4/m (No. 87), with a = 5.4458 Å, b = 5.4458 Å, c = 3.4404 Å, α = 90.00°, β = 90.00° and γ = 90.00°. The distinct sites, in fractional coordinates, are Mn at (0.1035, 0.2982, 0.0000) and Fe at (0.0000, 0.0000, 0.5000).

What is the mass density in the second record?
4.1 g cm⁻³